Density functional theory data (SCAN) for a PBEsol-optimized structure of Cu4Se3O10.

Symmetry   P-1

Cell: 7.9438 8.1290 8.2996 Å, 76.81 65.50 81.86°
With the nearest neighbours (Å) after each atom.
Positions (direct):
Cu (0.0130, 0.3693, 0.1762)  4 O 1.93-2.01
Cu (0.1052, 0.1616, 0.4858)  4 O 1.93-1.97
Cu (0.1791, 0.5533, 0.3868)  4 O 1.89-1.96
Cu (0.4091, 0.4377, 0.7336)  4 O 1.92-2.00
Cu (0.5909, 0.5623, 0.2664)  4 O 1.92-2.00
Cu (0.8209, 0.4467, 0.6132)  4 O 1.89-1.96
Cu (0.8948, 0.8384, 0.5142)  4 O 1.93-1.97
Cu (0.9870, 0.6307, 0.8238)  4 O 1.93-2.01
Se (0.0964, 0.2012, 0.8389)  3 O 1.72-1.74
Se (0.3400, 0.8153, 0.5261)  3 O 1.72-1.75
Se (0.4475, 0.2830, 0.1183)  3 O 1.70-1.78
Se (0.5525, 0.7170, 0.8817)  3 O 1.70-1.78
Se (0.6600, 0.1847, 0.4739)  3 O 1.72-1.75
Se (0.9036, 0.7988, 0.1611)  3 O 1.72-1.74
O (0.0201, 0.6402, 0.0432)  1 Se 1.72
O (0.0278, 0.3872, 0.3980)  4 Cu 1.89-1.96
O (0.0483, 0.8009, 0.2671)  1 Se 1.72
O (0.1246, 0.9184, 0.5781)  1 Se 1.72
O (0.2636, 0.6506, 0.7135)  1 Se 1.75, 1 Cu 1.95
O (0.2780, 0.3253, 0.0331)  1 Se 1.73
O (0.2798, 0.3065, 0.6599)  1 Se 1.74, 1 Cu 1.92
O (0.3535, 0.1319, 0.3044)  1 Se 1.70
O (0.3588, 0.7082, 0.3580)  1 Se 1.75, 1 Cu 1.94
O (0.4096, 0.4670, 0.2130)  1 Se 1.78, 2 Cu 1.96-1.97
O (0.5904, 0.5330, 0.7870)  1 Se 1.78, 2 Cu 1.96-1.97
O (0.6412, 0.2918, 0.6420)  1 Se 1.75, 1 Cu 1.94
O (0.6465, 0.8681, 0.6956)  1 Se 1.70
O (0.7202, 0.6935, 0.3401)  1 Se 1.74, 1 Cu 1.92
O (0.7220, 0.6747, 0.9669)  1 Se 1.73
O (0.7364, 0.3494, 0.2865)  1 Se 1.75, 1 Cu 1.95
O (0.8754, 0.0816, 0.4219)  1 Se 1.72
O (0.9517, 0.1991, 0.7329)  1 Se 1.72
O (0.9722, 0.6128, 0.6020)  4 Cu 1.89-1.96
O (0.9799, 0.3598, 0.9568)  1 Se 1.72

=====

Density functional theory data (SCAN) for a PBEsol-optimized structure of CuSeO3.

DOS(E_F)   10.17 states/eV/cell
Symmetry   Pnma

Cell: 12.5998 7.4469 5.7345 Å, 90.00 90.00 90.00°
With the nearest neighbours (Å) after each atom.
Positions (direct):
Cu (0.0967, 0.0406, 0.1600)  4 O 1.90-1.96
Cu (0.0967, 0.4594, 0.1600)  4 O 1.90-1.96
Cu (0.4033, 0.5406, 0.6600)  4 O 1.90-1.96
Cu (0.4033, 0.9594, 0.6600)  4 O 1.90-1.96
Cu (0.5967, 0.0406, 0.3400)  4 O 1.90-1.96
Cu (0.5967, 0.4594, 0.3400)  4 O 1.90-1.96
Cu (0.9033, 0.5406, 0.8400)  4 O 1.90-1.96
Cu (0.9033, 0.9594, 0.8400)  4 O 1.90-1.96
Se (0.0981, 0.2500, 0.6788)  3 O 1.69-1.77
Se (0.1716, 0.7500, 0.5771)  3 O 1.72-1.83
Se (0.3284, 0.2500, 0.0771)  3 O 1.72-1.83
Se (0.4019, 0.7500, 0.1788)  3 O 1.69-1.77
Se (0.5981, 0.2500, 0.8212)  3 O 1.69-1.77
Se (0.6716, 0.7500, 0.9229)  3 O 1.72-1.83
Se (0.8284, 0.2500, 0.4229)  3 O 1.72-1.83
Se (0.9019, 0.7500, 0.3212)  3 O 1.69-1.77
O (0.0174, 0.2500, 0.4437)  1 Se 1.69
O (0.0406, 0.0748, 0.8445)  1 Se 1.77, 2 Cu 1.93-1.96
O (0.0406, 0.4252, 0.8445)  1 Se 1.77, 2 Cu 1.93-1.96
O (0.1784, 0.5610, 0.4044)  1 Se 1.72, 1 Cu 1.90
O (0.1784, 0.9390, 0.4044)  1 Se 1.72, 1 Cu 1.90
O (0.1846, 0.2500, 0.1189)  1 Se 1.83, 2 Cu 1.93
O (0.3154, 0.7500, 0.6189)  1 Se 1.83, 2 Cu 1.93
O (0.3216, 0.0610, 0.9044)  1 Se 1.72, 1 Cu 1.90
O (0.3216, 0.4390, 0.9044)  1 Se 1.72, 1 Cu 1.90
O (0.4594, 0.5748, 0.3445)  1 Se 1.77, 2 Cu 1.93-1.96
O (0.4594, 0.9252, 0.3445)  1 Se 1.77, 2 Cu 1.93-1.96
O (0.4826, 0.7500, 0.9437)  1 Se 1.69
O (0.5174, 0.2500, 0.0563)  1 Se 1.69
O (0.5406, 0.0748, 0.6555)  1 Se 1.77, 2 Cu 1.93-1.96
O (0.5406, 0.4252, 0.6555)  1 Se 1.77, 2 Cu 1.93-1.96
O (0.6784, 0.5610, 0.0956)  1 Se 1.72, 1 Cu 1.90
O (0.6784, 0.9390, 0.0956)  1 Se 1.72, 1 Cu 1.90
O (0.6846, 0.2500, 0.3811)  1 Se 1.83, 2 Cu 1.93
O (0.8154, 0.7500, 0.8811)  1 Se 1.83, 2 Cu 1.93
O (0.8216, 0.0610, 0.5956)  1 Se 1.72, 1 Cu 1.90
O (0.8216, 0.4390, 0.5956)  1 Se 1.72, 1 Cu 1.90
O (0.9594, 0.5748, 0.1555)  1 Se 1.77, 2 Cu 1.93-1.96
O (0.9594, 0.9252, 0.1555)  1 Se 1.77, 2 Cu 1.93-1.96
O (0.9826, 0.7500, 0.5563)  1 Se 1.69

=====

Density functional theory data (SCAN) for a PBEsol-optimized structure of CuSeO2.

DOS(E_F)   1.97 states/eV/cell
Symmetry   R-3m

Cell: 6.2041 6.2041 6.2041 Å, 28.17 28.17 28.17°
With the nearest neighbours (Å) after each atom.
Positions (direct):
Cu (0.0000, 0.0000, 0.0000)  6 O 2.03
Se (0.5000, 0.5000, 0.5000)  2 O 1.93
O (0.3918, 0.3918, 0.3918)  1 Se 1.93, 3 Cu 2.03
O (0.6082, 0.6082, 0.6082)  1 Se 1.93, 3 Cu 2.03

=====

Density functional theory data (SCAN) for a PBEsol-optimized structure of CuSeO3.

Symmetry   P-1

Cell: 4.7139 8.6332 10.3627 Å, 67.45 87.96 89.47°
With the nearest neighbours (Å) after each atom.
Positions (direct):
Cu (0.0000, 0.0000, 0.0000)  4 O 1.94-1.97
Cu (0.0000, 0.0000, 0.5000)  4 O 1.90
Cu (0.0276, 0.6419, 0.3347)  4 O 1.94-1.96
Cu (0.4625, 0.9876, 0.2574)  5 O 1.93-2.16
Cu (0.5375, 0.0124, 0.7426)  5 O 1.93-2.16
Cu (0.9724, 0.3581, 0.6653)  4 O 1.94-1.96
Se (0.0296, 0.7490, 0.8299)  3 O 1.70-1.77
Se (0.4230, 0.3066, 0.8843)  3 O 1.72-1.75
Se (0.4590, 0.2748, 0.4719)  3 O 1.70-1.79
Se (0.5410, 0.7252, 0.5281)  3 O 1.70-1.79
Se (0.5770, 0.6934, 0.1157)  3 O 1.72-1.75
Se (0.9704, 0.2510, 0.1701)  3 O 1.70-1.77
O (0.0488, 0.2046, 0.3419)  1 Se 1.72, 1 Cu 1.90
O (0.1145, 0.0711, 0.1496)  1 Se 1.77, 1 Cu 1.97
O (0.2124, 0.4065, 0.4962)  1 Se 1.70
O (0.2186, 0.6895, 0.1547)  1 Se 1.72
O (0.2837, 0.4480, 0.7331)  1 Se 1.72
O (0.3000, 0.0774, 0.5781)  1 Se 1.79, 2 Cu 1.90-1.97
O (0.3019, 0.7736, 0.3874)  1 Se 1.79, 2 Cu 1.95-1.96
O (0.3175, 0.1160, 0.8771)  1 Se 1.75, 1 Cu 1.94
O (0.3842, 0.7875, 0.8269)  1 Se 1.70
O (0.6158, 0.2125, 0.1731)  1 Se 1.70
O (0.6825, 0.8840, 0.1229)  1 Se 1.75, 1 Cu 1.94
O (0.6981, 0.2264, 0.6126)  1 Se 1.79, 2 Cu 1.95-1.96
O (0.7000, 0.9226, 0.4219)  1 Se 1.79, 2 Cu 1.90-1.97
O (0.7163, 0.5520, 0.2669)  1 Se 1.72
O (0.7814, 0.3105, 0.8453)  1 Se 1.72
O (0.7876, 0.5935, 0.5038)  1 Se 1.70
O (0.8855, 0.9289, 0.8504)  1 Se 1.77, 1 Cu 1.97
O (0.9512, 0.7954, 0.6581)  1 Se 1.72, 1 Cu 1.90

=====

| no. | final energy (eV/cell) |
| --- | --- |
| 1 | -395.54 |
| 2 | -462.27 |
| 3 | -49.76 |
| 4 | -349.37 |